Computed, not measured: a relaxed Ba2YZn crystal at the PBE level of DFT.

Calculated values
Energy relative to the elements ... 0.274 eV per atom
VASP energy ... -2.621 eV/atom
Symmetry ... I-4m2

Cell: 6.5429 6.5429 6.5429 Å, 132.53 132.53 69.40°
Last column: nearest neighbours and their distance in Å.
Element x y z (fractional)
Ba (0.0000, 0.0000, 0.0000)  4 Y 3.72, 4 Ba 3.76, 4 Zn 3.76
Zn (0.7500, 0.2500, 0.5000)  8 Ba 3.72-3.76, 4 Y 3.76
Y (0.5000, 0.5000, 0.0000)  8 Ba 3.72-3.76, 4 Zn 3.76
Ba (0.2500, 0.7500, 0.5000)  4 Zn 3.72, 4 Y 3.76, 4 Ba 3.76

Computed, not measured: a relaxed LiScO2 crystal at the PBE level of DFT.

Calculated values
Uncorrected formation energy ... -2.869 eV per atom
VASP energy ... -7.410 eV/atom
Symmetry ... R3m

Cell: 3.1037 3.1037 5.5537 Å, 73.77 73.77 60.00°
Last column: nearest neighbours and their distance in Å.
Element x y z (fractional)
Li (0.4893, 0.4893, 0.5320)  3 O 2.18
O (0.0773, 0.0773, 0.7680)  3 Sc 2.15, 3 Li 2.18
O (0.2652, 0.2652, 0.2044)  3 Sc 2.10
Sc (0.6681, 0.6681, 0.9957)  6 O 2.10-2.15

Computed, not measured: a relaxed CsTiBr4 crystal at the PBE level of DFT.

Calculated values
Uncorrected formation energy ... -1.351 eV per atom
VASP energy ... -3.924 eV/atom
E above lowest polymorph ... 0.23 eV/f.u.
Symmetry ... Cmcm

Cell: 5.3022 7.7224 10.7959 Å, 90.00 104.22 90.00°
Last column: nearest neighbours and their distance in Å.
Element x y z (fractional)
Cs (0.6022, 0.2500, 0.2043)  11 Br 3.69-3.92
Br (0.0000, 0.5000, 0.0000)  2 Ti 2.79
Br (0.8243, 0.0159, 0.6486)  1 Ti 2.45
Br (0.5820, 0.7500, 0.1641)  2 Ti 2.67
Ti (0.9035, 0.2500, 0.8070)  4 Br 2.45-2.67
Ti (0.0965, 0.7500, 0.1930)  4 Br 2.45-2.67
Br (0.1757, 0.9841, 0.3514)  1 Ti 2.45
Cs (0.3978, 0.7500, 0.7957)  11 Br 3.69-3.92
Br (0.4180, 0.2500, 0.8359)  2 Ti 2.67
Br (0.0000, 0.0000, 0.0000)  2 Ti 2.79
Br (0.8243, 0.4841, 0.6486)  1 Ti 2.45
Br (0.1757, 0.5159, 0.3514)  1 Ti 2.45

Computed, not measured: a relaxed BeSnS2Cl crystal at the PBE level of DFT.

Calculated values
Uncorrected formation energy ... -0.278 eV per atom
VASP energy ... -3.844 eV/atom
E above lowest polymorph ... 0.00 eV/f.u.
Symmetry ... P4/mmm

Cell: 4.3819 4.3819 4.8766 Å, 90.00 90.00 90.00°
Last column: nearest neighbours and their distance in Å.
Element x y z (fractional)
Cl (0.0000, 0.0000, 0.5000)  2 Be 2.44
Be (0.0000, 0.0000, 0.0000)  4 S 2.19, 2 Cl 2.44
S (0.5000, 0.0000, 0.0000)  2 Be 2.19
S (0.0000, 0.5000, 0.0000)  2 Be 2.19
Sn (0.5000, 0.5000, 0.5000)  4 Cl 3.10, 8 S 3.28

> Which of these has the lowest VASP energy?

LiScO2

> Which formula does entry 1 have?

Ba2YZn

> Number 2 is which compound?

LiScO2